Here is crystalline Tl5In2Se4 at its relaxed geometry from the Alexandria database. Energies are from GGA-PBE.

Cell lengths 4.199, 10.310, 10.728 Å; angles 127.83, 101.27, 89.97 degrees
Fractional positions:
Tl1 0.777 0.173 0.553
Se1 0.065 0.839 0.129
Tl2 0.223 0.827 0.447
Se2 0.935 0.161 0.871
Tl3 0.500 0.000 0.000
In1 0.493 0.626 0.985
Se3 0.673 0.556 0.345
Tl4 0.853 0.700 0.706
In2 0.507 0.374 0.015
Tl5 0.147 0.300 0.294
Se4 0.327 0.444 0.655

- N(E_F) (states/eV/f.u.) = 2.05
- final energy (eV/atom) = -3.209
- ΔE_f (raw) (eV per formula unit) = -4.05
- total moment (μB/atom) = 0.000

---

Here is crystalline PRu3 at its relaxed geometry from the Alexandria database. Energies are from GGA-PBE.

Cell lengths 4.804, 4.804, 4.804 Å; angles 90.00, 90.00, 90.00 degrees
Fractional positions:
Ru1 0.500 0.000 0.250
Ru2 0.750 0.500 0.000
Ru3 0.250 0.500 0.000
Ru4 0.500 0.000 0.750
Ru5 0.000 0.250 0.500
Ru6 0.000 0.750 0.500
P1 0.000 0.000 0.000
P2 0.500 0.500 0.500

- N(E_F) (states/eV/f.u.) = 6.80
- ΔH_f (0 K) (eV per atom) = 0.470
- final energy (eV/atom) = -7.839
- excess energy over the best structure of this formula in the dataset (eV/f.u.) = 2.562
- total moment (μB/atom) = 0.000

---

Here is crystalline Rb4Pr3TiSe8 at its relaxed geometry from the Alexandria database. Energies are from GGA-PBE.

Cell lengths 8.582, 9.423, 8.582 Å; angles 117.10, 120.00, 90.00 degrees
Each line ends with the local moment (μB).
Fractional positions:
Se1 0.264 0.293 0.529  0.00
Ti1 0.000 0.500 0.000  0.88
Se2 0.243 0.307 0.025  -0.01
Se3 0.218 0.693 0.975  -0.01
Pr1 0.500 0.500 0.000  0.01
Pr2 0.000 0.500 0.500  0.01
Rb1 0.000 0.000 0.000  0.00
Se4 0.782 0.307 0.564  -0.01
Rb2 0.500 0.000 0.500  0.00
Se5 0.757 0.693 0.975  -0.01
Pr3 0.500 0.500 0.500  0.01
Rb3 0.500 0.000 0.000  0.00
Se6 0.218 0.693 0.436  -0.01
Se7 0.736 0.707 0.471  0.00
Se8 0.782 0.307 0.025  -0.01
Rb4 0.000 0.000 0.500  0.00

- N(E_F) (states/eV/f.u.) = 6.66
- final energy (eV/atom) = -4.912
- ΔE_f (raw) (eV per formula unit) = -24.62
- total moment (μB/atom) = 0.063

---

Here is crystalline RbPr2AgSe4 at its relaxed geometry from the Alexandria database. Energies are from GGA-PBE.

Cell lengths 4.360, 7.677, 15.175 Å; angles 90.00, 90.00, 106.50 degrees
Fractional positions:
Se1 0.442 0.884 0.750
Pr1 0.368 0.736 0.566
Ag1 0.840 0.680 0.750
Pr2 0.632 0.264 0.434
Se2 0.000 0.000 0.000
Se3 0.000 0.000 0.500
Rb1 0.117 0.233 0.750
Se4 0.736 0.472 0.606
Rb2 0.883 0.767 0.250
Se5 0.736 0.472 0.894
Ag2 0.160 0.320 0.250
Pr3 0.632 0.264 0.066
Pr4 0.368 0.736 0.934
Se6 0.558 0.116 0.250
Se7 0.264 0.528 0.394
Se8 0.264 0.528 0.106

- final energy (eV/atom) = -4.903
- ΔE_f (raw) (eV per formula unit) = -11.91
- total moment (μB/atom) = 0.000

---

Here is crystalline Cs2LiSbI6 at its relaxed geometry from the Alexandria database. Energies are from GGA-PBE.

Cell lengths 8.516, 8.516, 15.228 Å; angles 73.76, 73.76, 60.00 degrees
Fractional positions:
Sb1 0.000 0.000 0.000
I1 0.208 0.707 0.877
I2 0.792 0.293 0.123
Sb2 0.500 0.500 0.500
I3 0.378 0.378 0.373
I4 0.622 0.129 0.627
I5 0.622 0.622 0.627
I6 0.293 0.792 0.123
I7 0.707 0.208 0.877
I8 0.871 0.378 0.373
I9 0.208 0.208 0.877
I10 0.378 0.871 0.373
Cs1 0.702 0.702 0.894
Li1 0.581 0.581 0.258
Cs2 0.121 0.121 0.636
Cs3 0.298 0.298 0.106
Cs4 0.879 0.879 0.364
Li2 0.419 0.419 0.742
I11 0.129 0.622 0.627
I12 0.792 0.792 0.123

- N(E_F) (states/eV/f.u.) = 0.00
- final energy (eV/atom) = -2.714
- excess energy over the best structure of this formula in the dataset (eV/f.u.) = 0.000
- ΔE_f (raw) (eV per formula unit) = -10.10
- total moment (μB/atom) = 0.000

---

Here is crystalline Sc4Ru3 at its relaxed geometry from the Alexandria database. Energies are from GGA-PBE.

Cell lengths 4.626, 4.626, 7.516 Å; angles 72.08, 72.08, 60.00 degrees
Fractional positions:
Sc1 0.873 0.873 0.382
Sc2 0.127 0.127 0.618
Sc3 0.377 0.377 0.868
Sc4 0.623 0.623 0.132
Ru1 0.251 0.251 0.246
Ru2 0.000 0.000 0.000
Ru3 0.749 0.749 0.754

- N(E_F) (states/eV/f.u.) = 4.15
- ΔH_f (0 K) (eV per atom) = -0.414
- final energy (eV/atom) = -8.008
- excess energy over the best structure of this formula in the dataset (eV/f.u.) = 0.000
- total moment (μB/atom) = 0.000